A geometry-optimized ScRuIN2 structure, computed with GGA-PBE.

The energy relative to the lowest polymorph listed for this composition comes out at 488.5 meV/atom. As for the uncorrected formation energy: 1.17 eV/atom. The density of states at the Fermi level comes out at 6.134 states/eV/f.u. The uncorrected energy is -5.588 eV/atom.

Cell: 4.084 4.084 5.983 Å, 90.00 90.00 90.00°
Space group P4/mmm (No. 123)
Inequivalent atoms, fractional coordinates:
Sc: 0.000 0.000 0.000 (multiplicity 1)
Ru: 0.500 0.500 0.500 (multiplicity 1)
I: 0.000 0.000 0.500 (multiplicity 1)
N: 0.000 0.500 0.000 (multiplicity 2)